[1]
VASP calculation (PBE-GGA) on a geometry-optimized Tl5In2F12 structure.

Energy relative to the elements, uncorrected = -39.25 eV/f.u.
E = -79.0 eV/cell
V = 399 Å³/cell

Unit cell a=6.8209 b=8.0743 c=8.4671 alpha=107.33 beta=90.00 gamma=114.99
Last column: magnetic moment on the atom in μB.
Fractional coordinates of all 19 atoms:
Tl 0.2893 0.5787 0.6207  0.01
Tl 0.3091 0.6182 0.1886  0.01
Tl 0.0000 0.0000 0.5000  0.25
Tl 0.6909 0.3818 0.8114  0.01
Tl 0.7107 0.4213 0.3793  0.01
In 0.7517 0.0000 0.0000  0.00
In 0.2483 0.0000 0.0000  0.00
F 0.9996 0.9992 0.1616  0.01
F 0.1103 0.7051 0.9159  0.00
F 0.5948 0.7051 0.9159  0.00
F 0.0964 0.7374 0.4344  0.09
F 0.6409 0.7374 0.4344  0.09
F 0.5001 0.0003 0.8398  0.00
F 0.4999 0.9997 0.1602  0.00
F 0.9036 0.2626 0.5656  0.09
F 0.3591 0.2626 0.5656  0.09
F 0.8897 0.2949 0.0841  0.00
F 0.4052 0.2949 0.0841  0.00
F 0.0004 0.0008 0.8384  0.01



[2]
VASP calculation (PBE-GGA) on a geometry-optimized TlIn3F structure.

Energy relative to the elements, uncorrected = -2.42 eV/f.u.
Energy relative to the lowest polymorph listed for this composition = 0.000 eV per atom
E = -14.9 eV/cell
V = 135 Å³/cell

Unit cell a=5.1330 b=5.1330 c=5.1330 alpha=90.00 beta=90.00 gamma=90.00
Fractional coordinates of all 5 atoms:
Tl 0.5000 0.5000 0.5000
F 0.0000 0.0000 0.0000
In 0.0000 0.5000 0.0000
In 0.0000 0.0000 0.5000
In 0.5000 0.0000 0.0000



[3]
VASP calculation (PBE-GGA) on a geometry-optimized TlInF2 structure.

Energy relative to the elements, uncorrected = -6.97 eV/f.u.
Energy relative to the lowest polymorph listed for this composition = 0.000 eV per atom
E = -15.8 eV/cell
V = 91 Å³/cell

Unit cell a=5.2292 b=4.1243 c=4.1964 alpha=90.00 beta=89.96 gamma=90.00
Fractional coordinates of all 4 atoms:
Tl 0.2232 0.2961 0.0701
In 0.7692 0.7960 0.5696
F 0.5347 0.2958 0.5698
F 0.5411 0.7959 0.0697



[4]
VASP calculation (PBE-GGA) on a geometry-optimized TlIn2F2 structure.

Energy relative to the elements, uncorrected = -6.55 eV/f.u.
Energy relative to the lowest polymorph listed for this composition = 0.000 eV per atom
E = -18.1 eV/cell
V = 109 Å³/cell

Unit cell a=3.9233 b=3.9233 c=7.6282 alpha=75.10 beta=75.10 gamma=90.00
Fractional coordinates of all 5 atoms:
Tl 0.0000 0.0000 0.0000
F 0.7500 0.2500 0.5000
F 0.2500 0.7500 0.5000
In 0.3552 0.3552 0.2896
In 0.6448 0.6448 0.7104



[5]
VASP calculation (PBE-GGA) on a geometry-optimized TlInF structure.

Energy relative to the elements, uncorrected = -2.91 eV/f.u.
Energy relative to the lowest polymorph listed for this composition = 0.044 eV per atom
E = -9.9 eV/cell
V = 98 Å³/cell

Unit cell a=4.5048 b=4.5048 c=5.7853 alpha=112.91 beta=112.91 gamma=90.00
Fractional coordinates of all 3 atoms:
Tl 0.0427 0.0427 0.0854
In 0.5154 0.5154 0.0307
F 0.2919 0.2919 0.5839



[6]
VASP calculation (PBE-GGA) on a geometry-optimized TlInF structure.

Energy relative to the elements, uncorrected = -2.98 eV/f.u.
Energy relative to the lowest polymorph listed for this composition = 0.021 eV per atom
E = -19.9 eV/cell
V = 153 Å³/cell

Unit cell a=6.8638 b=3.2376 c=7.8570 alpha=101.89 beta=115.90 gamma=90.00
Fractional coordinates of all 6 atoms:
F 0.6027 0.1027 0.2055
F 0.3973 0.8973 0.7945
Tl 0.7549 0.5000 0.0000
Tl 0.2451 0.5000 0.0000
In 0.2335 0.7335 0.4670
In 0.7665 0.2665 0.5330



[7]
VASP calculation (PBE-GGA) on a geometry-optimized Tl2InF3 structure.

Energy relative to the elements, uncorrected = -10.47 eV/f.u.
E = -47.1 eV/cell
V = 290 Å³/cell

Unit cell a=7.9093 b=7.9095 c=6.2775 alpha=88.50 beta=66.58 gamma=56.37
Fractional coordinates of all 12 atoms:
Tl 0.1591 0.5573 0.6644
Tl 0.5170 0.2220 0.9894
Tl 0.4830 0.7780 0.0106
Tl 0.8409 0.4428 0.3356
In 0.1317 0.0769 0.6896
In 0.8683 0.9231 0.3104
F 0.2232 0.6226 0.1591
F 0.7768 0.3773 0.8409
F 0.8035 0.7564 0.1032
F 0.2065 0.2418 0.4064
F 0.7935 0.7582 0.5936
F 0.1965 0.2436 0.8968



[8]
VASP calculation (PBE-GGA) on a geometry-optimized TlInF2 structure.

Energy relative to the elements, uncorrected = -6.19 eV/f.u.
Energy relative to the lowest polymorph listed for this composition = 0.196 eV per atom
E = -15.0 eV/cell
V = 78 Å³/cell

Unit cell a=4.7965 b=4.7965 c=4.7965 alpha=60.00 beta=60.00 gamma=60.00
Fractional coordinates of all 4 atoms:
Tl 0.5000 0.5000 0.5000
F 0.2500 0.2500 0.2500
F 0.7500 0.7500 0.7500
In 0.0000 0.0000 0.0000



[9]
VASP calculation (PBE-GGA) on a geometry-optimized TlIn2F4 structure.

Energy relative to the elements, uncorrected = -13.65 eV/f.u.
E = -58.0 eV/cell
V = 289 Å³/cell

Unit cell a=6.1911 b=7.7450 c=8.0410 alpha=117.88 beta=121.93 gamma=78.35
Fractional coordinates of all 14 atoms:
Tl 0.3576 0.7481 0.6128
Tl 0.0026 0.9325 0.9243
F 0.6660 0.4626 0.6919
F 0.5776 0.1827 0.8282
F 0.0455 0.0045 0.3503
F 0.1336 0.2930 0.2505
F 0.0349 0.1117 0.7331
F 0.4959 0.8731 0.0187
F 0.8247 0.7074 0.3775
F 0.1669 0.4230 0.6457
In 0.7161 0.9846 0.3697
In 0.3954 0.2144 0.5301
In 0.1077 0.4514 0.9321
In 0.7255 0.3611 0.2351



[10]
VASP calculation (PBE-GGA) on a geometry-optimized TlInF2 structure.

Energy relative to the elements, uncorrected = -6.71 eV/f.u.
Energy relative to the lowest polymorph listed for this composition = 0.066 eV per atom
E = -15.6 eV/cell
V = 104 Å³/cell

Unit cell a=3.7508 b=6.8212 c=5.4254 alpha=52.83 beta=90.00 gamma=105.96
Fractional coordinates of all 4 atoms:
Tl 0.5275 0.0550 0.5575
In 0.2083 0.4165 0.7436
F 0.0225 0.0449 0.2458
F 0.7418 0.4836 0.9531



[11]
VASP calculation (PBE-GGA) on a geometry-optimized TlInF structure.

Energy relative to the elements, uncorrected = -3.04 eV/f.u.
Energy relative to the lowest polymorph listed for this composition = 0.000 eV per atom
E = -10.0 eV/cell
V = 70 Å³/cell

Unit cell a=3.4392 b=3.4392 c=6.8704 alpha=90.00 beta=90.00 gamma=120.00
Fractional coordinates of all 3 atoms:
Tl 0.0000 0.0000 0.0216
F 0.6667 0.3333 0.3790
In 0.3333 0.6667 0.5994



[12]
VASP calculation (PBE-GGA) on a geometry-optimized Tl5InF6 structure.

Energy relative to the elements, uncorrected = -20.77 eV/f.u.
E = -46.6 eV/cell
V = 298 Å³/cell

Unit cell a=7.0786 b=8.2665 c=6.7310 alpha=76.15 beta=58.28 gamma=62.93
Fractional coordinates of all 12 atoms:
Tl 0.8126 0.5324 0.3111
Tl 0.6568 0.0429 0.6628
Tl 0.5677 0.4210 0.0000
Tl 0.3196 0.0429 0.3372
Tl 0.1237 0.5324 0.6889
F 0.3751 0.6714 0.7197
F 0.8598 0.2608 0.5786
F 0.3207 0.2836 0.0000
F 0.8138 0.8821 0.0000
F 0.0948 0.6714 0.2803
F 0.4384 0.2608 0.4214
In 0.1171 0.8983 0.0000



What did the fifth record say?
VASP calculation (PBE-GGA) on a geometry-optimized TlInF structure.

Energy relative to the elements, uncorrected = -2.91 eV/f.u.
Energy relative to the lowest polymorph listed for this composition = 0.044 eV per atom
E = -9.9 eV/cell
V = 98 Å³/cell

Unit cell a=4.5048 b=4.5048 c=5.7853 alpha=112.91 beta=112.91 gamma=90.00
Fractional coordinates of all 3 atoms:
Tl 0.0427 0.0427 0.0854
In 0.5154 0.5154 0.0307
F 0.2919 0.2919 0.5839



Question: What is the V in the sixth record?
Answer: 153 Å³/cell



Question: Which of these has the lowest V?
Answer: number 11



Question: Which formula does entry 10 have?
Answer: TlInF2